Entry from the Alexandria database: LiFeSi4O10 after structural relaxation (PBE with a Hubbard U).

a = 7.439 Å, b = 7.439 Å, c = 14.907 Å
α = 90.00°, β = 90.00°, γ = 90.00°
Sites, in units of the cell vectors:
1 Li 0.250 0.250 0.061
2 Li 0.250 0.250 0.561
3 Li 0.750 0.750 0.439
4 Li 0.750 0.750 0.939
5 Fe 0.250 0.750 0.000
6 Fe 0.250 0.750 0.500
7 Fe 0.750 0.250 0.000
8 Fe 0.750 0.250 0.500
9 Si 0.017 0.610 0.147
10 Si 0.017 0.890 0.647
11 Si 0.110 0.517 0.353
12 Si 0.110 0.983 0.853
13 Si 0.390 0.517 0.853
14 Si 0.390 0.983 0.353
15 Si 0.483 0.610 0.647
16 Si 0.483 0.890 0.147
17 Si 0.517 0.110 0.853
18 Si 0.517 0.390 0.353
19 Si 0.610 0.017 0.647
20 Si 0.610 0.483 0.147
21 Si 0.890 0.017 0.147
22 Si 0.890 0.483 0.647
23 Si 0.983 0.110 0.353
24 Si 0.983 0.390 0.853
25 O 0.011 0.175 0.870
26 O 0.011 0.325 0.370
27 O 0.048 0.666 0.427
28 O 0.048 0.834 0.927
29 O 0.079 0.579 0.250
30 O 0.079 0.921 0.750
31 O 0.166 0.548 0.073
32 O 0.166 0.952 0.573
33 O 0.175 0.011 0.370
34 O 0.175 0.489 0.870
35 O 0.325 0.011 0.870
36 O 0.325 0.489 0.370
37 O 0.334 0.548 0.573
38 O 0.334 0.952 0.073
39 O 0.421 0.579 0.750
40 O 0.421 0.921 0.250
41 O 0.452 0.666 0.927
42 O 0.452 0.834 0.427
43 O 0.489 0.175 0.370
44 O 0.489 0.325 0.870
45 O 0.511 0.675 0.130
46 O 0.511 0.825 0.630
47 O 0.548 0.166 0.573
48 O 0.548 0.334 0.073
49 O 0.579 0.079 0.750
50 O 0.579 0.421 0.250
51 O 0.666 0.048 0.927
52 O 0.666 0.452 0.427
53 O 0.675 0.511 0.630
54 O 0.675 0.989 0.130
55 O 0.825 0.511 0.130
56 O 0.825 0.989 0.630
57 O 0.834 0.048 0.427
58 O 0.834 0.452 0.927
59 O 0.921 0.079 0.250
60 O 0.921 0.421 0.750
61 O 0.952 0.166 0.073
62 O 0.952 0.334 0.573
63 O 0.989 0.675 0.630
64 O 0.989 0.825 0.130

Calculated values
E = -118.3 eV per formula unit
M_tot = 4.957 μB per formula unit
Excess energy over the best structure of this formula in the dataset = 72 meV/atom
Volume = 12.89 A^3/atom